1.
The following is a GGA-PBE calculation of a geometry-optimized Cs2Ag2WS4 structure, from OQMD. Values from VASP.

The structure in Quantum ESPRESSO input format:
```
&SYSTEM
  ibrav = 0, nat = 18, ntyp = 4
/
ATOMIC_SPECIES
Ag 107.87 Ag.upf
W 183.84 W.upf
Cs 132.91 Cs.upf
S 32.06 S.upf
ATOMIC_POSITIONS crystal
Ag 0.500 0.000 0.750
Ag 0.000 0.500 0.250
W 0.000 0.000 0.750
Cs 0.266 0.266 0.000
Cs 0.734 0.734 0.000
S 0.212 0.788 0.147
Ag 0.000 0.500 0.750
S 0.788 0.788 0.647
S 0.212 0.788 0.853
S 0.212 0.212 0.353
S 0.212 0.212 0.647
Cs 0.734 0.266 0.500
W 0.000 0.000 0.250
S 0.788 0.788 0.353
Cs 0.266 0.734 0.500
S 0.788 0.212 0.853
S 0.788 0.212 0.147
Ag 0.500 0.000 0.250
CELL_PARAMETERS angstrom
-1.862 1.592 -5.584
-1.898 -5.709 -0.995
-12.629 3.301 5.153
```

## Properties
Crystal system   tetragonal
M_tot   2.0 μB per formula unit
E   -4.65 eV per atom

---

2.
The following is a GGA-PBE calculation of a geometry-optimized CsZrAgS3 structure, from OQMD. Values from VASP.

The structure in Quantum ESPRESSO input format:
```
&SYSTEM
  ibrav = 0, nat = 24, ntyp = 4
/
ATOMIC_SPECIES
Ag 107.87 Ag.upf
S 32.06 S.upf
Zr 91.22 Zr.upf
Cs 132.91 Cs.upf
ATOMIC_POSITIONS crystal
Ag 0.257 0.250 0.705
S 0.974 0.250 0.858
S 0.234 0.250 0.312
Zr 0.482 0.750 0.757
S 0.266 0.750 0.812
Cs 0.250 0.250 0.995
Cs 0.750 0.750 0.005
Zr 0.018 0.250 0.257
S 0.047 0.250 0.637
S 0.026 0.750 0.142
S 0.453 0.750 0.137
Zr 0.982 0.750 0.743
S 0.734 0.250 0.188
Cs 0.250 0.750 0.495
Cs 0.750 0.250 0.505
S 0.953 0.750 0.363
S 0.474 0.250 0.642
S 0.766 0.750 0.688
S 0.547 0.250 0.863
Ag 0.757 0.250 0.795
S 0.526 0.750 0.358
Ag 0.743 0.750 0.295
Zr 0.518 0.250 0.243
Ag 0.243 0.750 0.205
CELL_PARAMETERS angstrom
10.553 0.000 0.000
0.000 3.866 0.000
0.000 0.000 15.579
```

## Properties
Crystal system   orthorhombic
M_tot   0.0 μB per formula unit
E   -5.25 eV per atom

---

3.
The following is a GGA-PBE calculation of a geometry-optimized CsZrAgS3 structure, from OQMD. Values from VASP.

The structure in Quantum ESPRESSO input format:
```
&SYSTEM
  ibrav = 0, nat = 12, ntyp = 4
/
ATOMIC_SPECIES
S 32.06 S.upf
Ag 107.87 Ag.upf
Cs 132.91 Cs.upf
Zr 91.22 Zr.upf
ATOMIC_POSITIONS crystal
S 0.058 0.058 0.250
Ag 0.455 0.455 0.250
Cs 0.257 0.257 0.750
S 0.612 0.612 0.532
S 0.388 0.388 0.468
Cs 0.743 0.743 0.250
Zr 0.000 0.000 0.000
Zr 0.000 0.000 0.500
Ag 0.545 0.545 0.750
S 0.942 0.942 0.750
S 0.388 0.388 0.032
S 0.612 0.612 0.968
CELL_PARAMETERS angstrom
7.844 -1.945 0.000
7.844 1.945 0.000
0.000 0.000 10.175
```

## Properties
Crystal system   orthorhombic
M_tot   0.0 μB per formula unit
E   -5.24 eV per atom

---

4.
The following is a GGA-PBE calculation of a geometry-optimized CsZrAgS3 structure, from OQMD. Values from VASP.

The structure in Quantum ESPRESSO input format:
```
&SYSTEM
  ibrav = 0, nat = 24, ntyp = 4
/
ATOMIC_SPECIES
S 32.06 S.upf
Cs 132.91 Cs.upf
Zr 91.22 Zr.upf
Ag 107.87 Ag.upf
ATOMIC_POSITIONS crystal
S 0.513 0.250 0.203
Cs 0.179 0.750 0.466
S 0.580 0.750 0.559
Zr 0.469 0.250 0.654
Zr 0.969 0.250 0.846
Zr 0.531 0.750 0.346
Zr 0.031 0.750 0.154
S 0.013 0.250 0.297
S 0.716 0.750 0.319
S 0.920 0.250 0.059
S 0.784 0.250 0.819
S 0.080 0.750 0.941
S 0.487 0.750 0.797
Cs 0.679 0.750 0.034
Ag 0.675 0.750 0.749
Ag 0.325 0.250 0.251
Ag 0.825 0.250 0.249
Cs 0.321 0.250 0.966
S 0.987 0.750 0.703
S 0.216 0.750 0.182
Ag 0.175 0.750 0.751
Cs 0.821 0.250 0.534
S 0.284 0.250 0.681
S 0.420 0.250 0.441
CELL_PARAMETERS angstrom
13.102 0.000 0.000
0.000 3.830 0.000
0.000 0.000 12.395
```

## Properties
Crystal system   orthorhombic
M_tot   0.0 μB per formula unit
E   -5.19 eV per atom

---

5.
The following is a GGA-PBE calculation of a geometry-optimized CsZrAg3S4 structure, from OQMD. Values from VASP.

The structure in Quantum ESPRESSO input format:
```
&SYSTEM
  ibrav = 0, nat = 18, ntyp = 4
/
ATOMIC_SPECIES
Ag 107.87 Ag.upf
S 32.06 S.upf
Zr 91.22 Zr.upf
Cs 132.91 Cs.upf
ATOMIC_POSITIONS crystal
Ag 0.401 0.750 0.756
S 0.359 0.998 0.280
Zr 0.861 0.750 0.705
S 0.947 0.750 0.489
S 0.832 0.250 0.095
Ag 0.284 0.543 0.516
Ag 0.599 0.250 0.244
Ag 0.716 0.043 0.484
S 0.053 0.250 0.511
S 0.168 0.750 0.905
Cs 0.792 0.750 0.129
Cs 0.208 0.250 0.871
Zr 0.139 0.250 0.295
Ag 0.284 0.957 0.516
Ag 0.716 0.457 0.484
S 0.641 0.498 0.720
S 0.359 0.502 0.280
S 0.641 0.002 0.720
CELL_PARAMETERS angstrom
-0.759 -2.823 -5.514
-2.444 -6.556 3.694
-9.155 4.714 2.310
```

## Properties
Crystal system   monoclinic
Energy above the most stable polymorph in this dataset   0 meV/atom
M_tot   0.0 μB per formula unit
E   -4.61 eV per atom

---

6.
The following is a GGA-PBE calculation of a geometry-optimized CsZrAgS3 structure, from OQMD. Values from VASP.

The structure in Quantum ESPRESSO input format:
```
&SYSTEM
  ibrav = 0, nat = 24, ntyp = 4
/
ATOMIC_SPECIES
Cs 132.91 Cs.upf
Zr 91.22 Zr.upf
S 32.06 S.upf
Ag 107.87 Ag.upf
ATOMIC_POSITIONS crystal
Cs 0.474 0.750 0.666
Zr 0.158 0.750 0.439
Zr 0.842 0.250 0.561
S 0.707 0.750 0.495
Cs 0.974 0.750 0.834
S 0.492 0.250 0.094
S 0.992 0.250 0.406
Zr 0.342 0.250 0.939
S 0.293 0.250 0.505
S 0.750 0.250 0.704
Cs 0.526 0.250 0.334
S 0.008 0.750 0.594
Ag 0.340 0.750 0.146
Ag 0.840 0.750 0.354
S 0.207 0.750 0.005
S 0.750 0.750 0.204
Ag 0.160 0.250 0.646
Zr 0.658 0.750 0.061
Cs 0.026 0.250 0.166
S 0.250 0.250 0.796
S 0.250 0.750 0.296
S 0.508 0.750 0.906
S 0.793 0.250 0.995
Ag 0.660 0.250 0.854
CELL_PARAMETERS angstrom
10.559 0.000 0.000
0.000 3.899 0.000
0.000 0.000 15.084
```

## Properties
Crystal system   orthorhombic
M_tot   0.0 μB per formula unit
E   -5.23 eV per atom

---

Calculated volume (Å³/atom), listed in the same order as above: 29.0, 26.5, 25.9, 25.9, 27.7, 25.9